## La3ErTm3 (GGA-PBE)

Data for La3ErTm3 after structural relaxation.

abc: 6.2046 6.2046 43.6659
angles: 90.00 90.00 120.00
Space group R-3 (No. 148, hexagonal axes)
Asymmetric unit:
La 0.0007 0.3302 0.1290 (multiplicity 18)
Er 0.0000 0.0000 0.3333 (multiplicity 6)
Tm 0.9996 0.3334 0.2706 (multiplicity 18)

V	34.7	Å³ per atom
final energy	-4.491	eV/atom
formation energy	0.189	eV per atom

## LaEr15Tm4 (GGA-PBE)

Data for LaEr15Tm4 after structural relaxation.

abc: 4.970 4.970 24.884
angles: 90.00 90.00 90.00
Space group P4/mmm (No. 123)
Asymmetric unit:
La 0.000 0.000 0.000 (multiplicity 1)
Er 0.000 0.500 0.104 (multiplicity 4)
Er 0.000 0.500 0.302 (multiplicity 4)
Er 0.000 0.500 0.500 (multiplicity 2)
Er 0.500 0.500 0.000 (multiplicity 1)
Er 0.500 0.500 0.203 (multiplicity 2)
Er 0.500 0.500 0.401 (multiplicity 2)
Tm 0.000 0.000 0.202 (multiplicity 2)
Tm 0.000 0.000 0.401 (multiplicity 2)

V	30.7	Å³ per atom
final energy	-4.535	eV/atom
formation energy	0.028	eV per atom

## LaEr2Tm4 (GGA-PBE)

Data for LaEr2Tm4 after structural relaxation.

abc: 6.225 8.393 9.145
angles: 95.65 90.01 111.72
Space group P1 (No. 1)
Asymmetric unit:
La 0.000 0.000 0.000 (multiplicity 1)
La 0.481 0.288 0.219 (multiplicity 1)
Er 0.286 0.574 0.433 (multiplicity 1)
Er 0.334 0.999 0.504 (multiplicity 1)
Er 0.619 0.570 0.928 (multiplicity 1)
Er 0.718 0.434 0.577 (multiplicity 1)
Tm 0.051 0.435 0.073 (multiplicity 1)
Tm 0.145 0.289 0.715 (multiplicity 1)
Tm 0.194 0.714 0.786 (multiplicity 1)
Tm 0.428 0.853 0.145 (multiplicity 1)
Tm 0.573 0.143 0.853 (multiplicity 1)
Tm 0.762 0.855 0.643 (multiplicity 1)
Tm 0.861 0.718 0.291 (multiplicity 1)
Tm 0.906 0.144 0.366 (multiplicity 1)

E above lowest polymorph	0	meV per atom
V	31.5	Å³ per atom
final energy	-4.551	eV/atom
formation energy	0.011	eV per atom

## La2Er8Tm (GGA-PBE)

Data for La2Er8Tm after structural relaxation.

abc: 18.650 7.010 5.594
angles: 90.00 92.24 90.00
Space group C2/m (No. 12)
Asymmetric unit:
La 0.216 0.000 0.254 (multiplicity 4)
Er 0.044 0.000 0.237 (multiplicity 4)
Er 0.127 0.233 0.736 (multiplicity 8)
Er 0.182 0.500 0.233 (multiplicity 4)
Tm 0.000 0.500 0.000 (multiplicity 2)

E above lowest polymorph	5	meV per atom
V	33.2	Å³ per atom
final energy	-4.435	eV/atom
formation energy	0.186	eV per atom

## La4ErTm6 (GGA-PBE)

Data for La4ErTm6 after structural relaxation.

abc: 6.705 6.705 16.961
angles: 90.00 90.00 90.00
Space group I-42m (No. 121)
Asymmetric unit:
La 0.189 0.189 0.177 (multiplicity 8)
Er 0.000 0.000 0.000 (multiplicity 2)
Tm 0.000 0.500 0.000 (multiplicity 4)
Tm 0.176 0.176 0.381 (multiplicity 8)

V	34.7	Å³ per atom
final energy	-4.354	eV/atom
formation energy	0.292	eV per atom

## LaErTm4 (GGA-PBE)

Data for LaErTm4 after structural relaxation.

abc: 8.798 14.633 6.369
angles: 90.00 108.96 90.00
Space group C2/c (No. 15)
Asymmetric unit:
La 0.000 0.082 0.250 (multiplicity 4)
Er 0.000 0.498 0.750 (multiplicity 4)
Tm 0.094 0.305 0.533 (multiplicity 8)
Tm 0.209 0.135 0.882 (multiplicity 8)

E above lowest polymorph	62	meV per atom
V	32.3	Å³ per atom
final energy	-4.420	eV/atom
formation energy	0.143	eV per atom

## La2ErTm (GGA-PBE)

Data for La2ErTm after structural relaxation.

abc: 5.234 5.234 4.900
angles: 90.00 90.00 90.00
Space group P4/mmm (No. 123)
Asymmetric unit:
La 0.000 0.500 0.000 (multiplicity 2)
Er 0.000 0.000 0.500 (multiplicity 1)
Tm 0.500 0.500 0.500 (multiplicity 1)

E above lowest polymorph	7	meV per atom
V	33.6	Å³ per atom
final energy	-4.698	eV/atom
formation energy	0.024	eV per atom

## La2ErTm3 (GGA-PBE)

Data for La2ErTm3 after structural relaxation.

abc: 6.186 6.194 10.720
angles: 90.02 106.31 99.29
Space group P-1 (No. 2)
Asymmetric unit:
La 0.250 0.125 0.125 (multiplicity 2)
La 0.250 0.625 0.625 (multiplicity 2)
Er 0.250 0.129 0.790 (multiplicity 2)
Tm 0.250 0.120 0.460 (multiplicity 2)
Tm 0.250 0.621 0.960 (multiplicity 2)
Tm 0.250 0.629 0.290 (multiplicity 2)

E above lowest polymorph	0	meV per atom
V	32.4	Å³ per atom
final energy	-4.605	eV/atom
formation energy	0.034	eV per atom